A plane-wave DFT calculation with PBE-GGA was carried out for a relaxed structure of NiMo2HW.

It has space group P4/mmm (No. 123), with a = 4.8660 Å, b = 4.8660 Å, c = 3.1521 Å, α = 90.00°, β = 90.00° and γ = 90.00°. The asymmetric unit holds Ni at (0.0000, 0.0000, 0.0000), Mo at (0.0000, 0.5000, 0.5000), H at (0.5000, 0.5000, 0.0000) and W at (0.5000, 0.5000, 0.5000).

The value obtained for the calculated total energy is -7.44 eV per atom. The volume comes out at 14.927 A^3/atom. The density of states at the Fermi level comes out at 7.13 states/eV/f.u.


A plane-wave DFT calculation with PBE-GGA was carried out for a relaxed structure of NiMo2HW.

It has space group P4/mmm (No. 123), with a = 4.0554 Å, b = 4.0554 Å, c = 3.6938 Å, α = 90.00°, β = 90.00° and γ = 90.00°. The asymmetric unit holds Ni at (0.0000, 0.0000, 0.0000), Mo at (0.0000, 0.5000, 0.5000), H at (0.0000, 0.0000, 0.5000) and W at (0.5000, 0.5000, 0.0000).

The value obtained for the calculated total energy is -8.69 eV per atom. The volume comes out at 12.150 A^3/atom. The density of states at the Fermi level comes out at 3.69 states/eV/f.u.


A plane-wave DFT calculation with PBE-GGA was carried out for a relaxed structure of NiMoHW2.

It has space group P4/mmm (No. 123), with a = 4.0663 Å, b = 4.0663 Å, c = 3.6955 Å, α = 90.00°, β = 90.00° and γ = 90.00°. The asymmetric unit holds Ni at (0.0000, 0.0000, 0.0000), Mo at (0.5000, 0.5000, 0.0000), H at (0.0000, 0.0000, 0.5000) and W at (0.0000, 0.5000, 0.5000).

The value obtained for the calculated total energy is -9.06 eV per atom. The volume comes out at 12.221 A^3/atom. The density of states at the Fermi level comes out at 3.38 states/eV/f.u.


A plane-wave DFT calculation with PBE-GGA was carried out for a relaxed structure of Zr2NiMoH.

It has space group P4/mmm (No. 123), with a = 4.6062 Å, b = 4.6062 Å, c = 3.5139 Å, α = 90.00°, β = 90.00° and γ = 90.00°. The asymmetric unit holds Zr at (0.0000, 0.5000, 0.0000), Ni at (0.0000, 0.0000, 0.5000), Mo at (0.5000, 0.5000, 0.5000) and H at (0.5000, 0.5000, 0.0000).

The value obtained for the calculated total energy is -7.59 eV per atom. The volume comes out at 14.911 A^3/atom. The density of states at the Fermi level comes out at 3.71 states/eV/f.u.


A plane-wave DFT calculation with PBE-GGA was carried out for a relaxed structure of Zr2NiMoH.

It has space group P4/mmm (No. 123), with a = 4.6334 Å, b = 4.6334 Å, c = 3.3907 Å, α = 90.00°, β = 90.00° and γ = 90.00°. The asymmetric unit holds Zr at (0.0000, 0.5000, 0.0000), Ni at (0.0000, 0.0000, 0.5000), Mo at (0.5000, 0.5000, 0.5000) and H at (0.0000, 0.0000, 0.0000).

The value obtained for the calculated total energy is -7.66 eV per atom. The volume comes out at 14.559 A^3/atom. The density of states at the Fermi level comes out at 3.04 states/eV/f.u.


A plane-wave DFT calculation with PBE-GGA was carried out for a relaxed structure of NpMoH4.

It has space group F-43m (No. 216), with a = 5.9811 Å, b = 5.9811 Å, c = 5.9811 Å, α = 90.00°, β = 90.00° and γ = 90.00°. The asymmetric unit holds Np at (0.0000, 0.0000, 0.0000), Mo at (0.2500, 0.2500, 0.2500) and H at (0.1247, 0.1247, 0.6247).

The value obtained for the calculated total energy is -5.45 eV per atom. The volume comes out at 8.915 A^3/atom. The density of states at the Fermi level comes out at 6.53 states/eV/f.u.


Question: calculated total energy of number 2 (NiMo2HW)?
Answer: -8.69 eV per atom